1.
First-principles (PBE) data for a relaxed Ce3UC3 crystal, as listed in the Alexandria database.

Cell: 5.332 7.553 7.553 Å, 120.00 90.00 90.00°
Fractional positions:
Ce1 0.750 0.698 0.644
Ce2 0.750 0.356 0.054
Ce3 0.750 0.946 0.302
Ce4 0.250 0.302 0.356
Ce5 0.250 0.644 0.946
Ce6 0.250 0.054 0.698
U1 0.250 0.667 0.333
U2 0.750 0.333 0.667
C1 0.250 0.694 0.644
C2 0.250 0.356 0.050
C3 0.250 0.950 0.306
C4 0.750 0.306 0.356
C5 0.750 0.644 0.950
C6 0.750 0.050 0.694

As for the space-group type: P6_3/m. The electronic total energy comes out at -8.098 eV per atom. For the formation energy, the calculation gives 0.011 eV per atom.

=====

2.
First-principles (PBE) data for a relaxed MgTa2Os crystal, as listed in the Alexandria database.

Cell: 7.644 7.644 6.054 Å, 50.85 50.85 90.00°
Fractional positions:
Mg1 0.500 0.500 0.000
Mg2 0.250 0.750 0.500
Os1 0.000 0.000 0.000
Os2 0.750 0.250 0.500
Ta1 0.681 0.125 0.250
Ta2 0.069 0.625 0.250
Ta3 0.375 0.319 0.750
Ta4 0.875 0.931 0.750

As for the space-group type: I-42d. The electronic total energy comes out at -8.631 eV per atom. For the formation energy, the calculation gives 0.501 eV per atom.